1.
Bi6PdPt3 | PBE | relaxed

Unit cell a=7.0588 b=8.8621 c=8.8621 alpha=102.94 beta=90.00 gamma=90.00
With the nearest neighbours (Å) after each atom.
Element x y z (fractional)
1 Bi 0.1837 0.6773 0.6417  4 Pt 2.85-2.93
2 Bi 0.1924 0.4202 0.8859  1 Pd 2.77, 3 Pt 2.79-2.88
3 Bi 0.6250 0.2189 0.7811  1 Pd 2.72, 3 Pt 2.86-2.87
4 Bi 0.2972 0.0267 0.9733  2 Pd 2.78, 2 Pt 2.81
5 Bi 0.6837 0.3227 0.3583  4 Pt 2.85-2.93
6 Bi 0.6924 0.5798 0.1141  1 Pd 2.77, 3 Pt 2.79-2.88
7 Bi 0.7972 0.9733 0.0267  2 Pd 2.78, 2 Pt 2.81
8 Bi 0.6837 0.6417 0.6773  4 Pt 2.85-2.93
9 Bi 0.1250 0.7811 0.2189  1 Pd 2.72, 3 Pt 2.86-2.87
10 Bi 0.1924 0.1141 0.5798  1 Pd 2.77, 3 Pt 2.79-2.88
11 Bi 0.1837 0.3583 0.3227  4 Pt 2.85-2.93
12 Bi 0.6924 0.8859 0.4202  1 Pd 2.77, 3 Pt 2.79-2.88
13 Pt 0.9104 0.6060 0.3940  7 Bi 2.86-2.93
14 Pt 0.4575 0.3207 0.0816  6 Bi 2.79-2.92
15 Pt 0.4575 0.9184 0.6793  6 Bi 2.79-2.92
16 Pt 0.9575 0.0816 0.3207  6 Bi 2.79-2.92
17 Pt 0.4104 0.3940 0.6060  7 Bi 2.86-2.93
18 Pt 0.9575 0.6793 0.9184  6 Bi 2.79-2.92
19 Pd 0.4857 0.8505 0.1495  5 Bi 2.72-2.78
20 Pd 0.9857 0.1495 0.8505  5 Bi 2.72-2.78

Summary:
E = -48.572 eV/f.u.
Energy of formation = -1.97 eV/f.u.
Total magnetization = 0.00 μB per formula unit
Space group = Cmc2_1 (36)


2.
BiPd6Pt2 | PBE | relaxed

Unit cell a=4.8332 b=8.1118 c=8.1118 alpha=73.24 beta=82.08 gamma=82.08
With the nearest neighbours (Å) after each atom.
Element x y z (fractional)
1 Pd 0.8031 0.0104 0.7526  2 Pt 2.76-2.80, 5 Pd 2.79-3.04, 3 Bi 2.85-2.97
2 Pd 0.9653 0.4343 0.6751  5 Pd 2.72-2.87, 4 Pt 2.75-2.83, 1 Bi 2.77
3 Pd 0.8520 0.6439 0.8974  4 Pt 2.73-2.80, 5 Pd 2.77-2.85, 1 Bi 2.94
4 Pd 0.4653 0.6751 0.4343  5 Pd 2.72-2.87, 4 Pt 2.75-2.83, 1 Bi 2.77
5 Pd 0.6969 0.2474 0.9896  2 Pt 2.76-2.80, 5 Pd 2.79-3.04, 3 Bi 2.85-2.97
6 Pd 0.0347 0.5657 0.3249  5 Pd 2.72-2.87, 4 Pt 2.75-2.83, 1 Bi 2.77
7 Pd 0.1969 0.9896 0.2474  2 Pt 2.76-2.80, 5 Pd 2.79-3.04, 3 Bi 2.85-2.97
8 Pd 0.5347 0.3249 0.5657  5 Pd 2.72-2.87, 4 Pt 2.75-2.83, 1 Bi 2.77
9 Pd 0.3031 0.7526 0.0104  2 Pt 2.76-2.80, 5 Pd 2.79-3.04, 3 Bi 2.85-2.97
10 Pd 0.3520 0.8974 0.6439  4 Pt 2.73-2.80, 5 Pd 2.77-2.85, 1 Bi 2.94
11 Pd 0.6480 0.1026 0.3561  4 Pt 2.73-2.80, 5 Pd 2.77-2.85, 1 Bi 2.94
12 Pd 0.1480 0.3561 0.1026  4 Pt 2.73-2.80, 5 Pd 2.77-2.85, 1 Bi 2.94
13 Pt 0.0911 0.2116 0.4562  10 Pd 2.73-2.83
14 Pt 0.4089 0.5438 0.7884  10 Pd 2.73-2.83
15 Pt 0.9089 0.7884 0.5438  10 Pd 2.73-2.83
16 Pt 0.5911 0.4562 0.2116  10 Pd 2.73-2.83
17 Bi 0.7500 0.8646 0.1354  10 Pd 2.77-2.97
18 Bi 0.2500 0.1354 0.8646  10 Pd 2.77-2.97

Summary:
E = -47.608 eV/f.u.
Energy of formation = -0.49 eV/f.u.
Total magnetization = 0.00 μB per formula unit
Space group = C2/c (15)


3.
Bi2PdPt2 | PBE | relaxed

Unit cell a=3.9499 b=6.1931 c=9.4468 alpha=77.35 beta=77.93 gamma=71.40
With the nearest neighbours (Å) after each atom.
Element x y z (fractional)
1 Bi 0.5089 0.3113 0.6708  2 Pd 2.89, 6 Pt 2.97-3.00
2 Bi 0.2968 0.2861 0.1203  4 Pt 2.82-2.89, 2 Pd 2.92
3 Bi 0.7032 0.7139 0.8797  4 Pt 2.82-2.89, 2 Pd 2.92
4 Bi 0.4911 0.6887 0.3292  2 Pd 2.89, 6 Pt 2.97-3.00
5 Pt 0.8699 0.6891 0.5712  1 Pt 2.76, 3 Pd 2.77-2.84, 5 Bi 2.88-3.00
6 Pt 0.9349 0.2164 0.9139  1 Pt 2.77, 5 Bi 2.82-2.97, 1 Pd 2.90
7 Pt 0.1301 0.3109 0.4288  1 Pt 2.76, 3 Pd 2.77-2.84, 5 Bi 2.88-3.00
8 Pt 0.0651 0.7836 0.0861  1 Pt 2.77, 5 Bi 2.82-2.97, 1 Pd 2.90
9 Pd 0.1869 0.9512 0.6751  4 Pt 2.77-2.90, 4 Bi 2.89-2.92
10 Pd 0.8131 0.0488 0.3249  4 Pt 2.77-2.90, 4 Bi 2.89-2.92

Summary:
E = -25.756 eV/f.u.
Energy of formation = -0.72 eV/f.u.
Total magnetization = 0.00 μB per formula unit
Space group = C2/m (12)


4.
BiPd5Pt | PBE | relaxed

Unit cell a=9.4048 b=5.0541 c=5.9774 alpha=115.01 beta=141.88 gamma=90.00
With the nearest neighbours (Å) after each atom.
Element x y z (fractional)
1 Pd 0.3007 0.2436 0.4873  6 Pd 2.62-2.86, 1 Bi 2.69, 2 Pt 2.91
2 Pd 0.7812 0.7509 0.0000  5 Pd 2.52-2.82
3 Pd 0.0317 0.5000 0.0000  1 Bi 2.63, 6 Pd 2.68-2.86, 2 Pt 2.70
4 Pd 0.7812 0.2491 0.0000  5 Pd 2.52-2.82
5 Pd 0.8135 0.7564 0.5127  6 Pd 2.62-2.86, 1 Bi 2.69, 2 Pt 2.91
6 Bi 0.3114 0.5000 0.0000  3 Pd 2.63-2.69
7 Pt 0.5111 0.0000 0.0000  8 Pd 2.70-2.91

Summary:
E = -35.371 eV/f.u.
Energy of formation = 0.51 eV/f.u.
Total magnetization = 0.00 μB per formula unit
Space group = Imm2 (44)


5.
BiPd2Pt8 | PBE | relaxed

Unit cell a=3.9956 b=7.8394 c=7.4802 alpha=121.60 beta=105.49 gamma=90.00
With the nearest neighbours (Å) after each atom.
Element x y z (fractional)
1 Pt 0.6672 0.4244 0.3344  7 Pt 2.76-2.85, 3 Pd 2.76-2.87, 1 Bi 2.86
2 Pt 0.0000 0.2759 0.0000  2 Pd 2.65, 6 Pt 2.85-2.97, 2 Bi 2.94
3 Pt 0.1677 0.1677 0.3355  8 Pt 2.76-2.97, 2 Bi 2.85, 2 Pd 2.85
4 Pt 0.0000 0.7241 0.0000  2 Pd 2.65, 6 Pt 2.85-2.97, 2 Bi 2.94
5 Pt 0.6672 0.9100 0.3344  7 Pt 2.76-2.85, 3 Pd 2.76-2.87, 1 Bi 2.86
6 Pt 0.3328 0.0900 0.6656  7 Pt 2.76-2.85, 3 Pd 2.76-2.87, 1 Bi 2.86
7 Pt 0.3328 0.5756 0.6656  7 Pt 2.76-2.85, 3 Pd 2.76-2.87, 1 Bi 2.86
8 Pt 0.8323 0.8323 0.6645  8 Pt 2.76-2.97, 2 Bi 2.85, 2 Pd 2.85
9 Pd 0.1640 0.6640 0.3280  10 Pt 2.65-2.87
10 Pd 0.8360 0.3360 0.6720  10 Pt 2.65-2.87
11 Bi 0.5000 0.0000 0.0000  12 Pt 2.85-2.94

Summary:
E = -61.688 eV/f.u.
Energy of formation = 0.91 eV/f.u.
Total magnetization = 0.00 μB per formula unit
Space group = Immm (71)


6.
Bi3Pd7Pt | PBE | relaxed

Unit cell a=4.0934 b=10.2089 c=10.2917 alpha=90.00 beta=90.00 gamma=101.56
With the nearest neighbours (Å) after each atom.
Element x y z (fractional)
1 Bi 0.1061 0.2122 0.0708  7 Pd 2.70-2.95
2 Bi 0.8939 0.7878 0.5708  7 Pd 2.70-2.95
3 Bi 0.8030 0.6061 0.2500  9 Pd 2.87-2.97, 1 Pt 3.00
4 Bi 0.8939 0.7878 0.9292  7 Pd 2.70-2.95
5 Bi 0.1970 0.3939 0.7500  9 Pd 2.87-2.97, 1 Pt 3.00
6 Bi 0.1061 0.2122 0.4292  7 Pd 2.70-2.95
7 Pd 0.7587 0.5173 0.5954  3 Bi 2.72-2.87, 3 Pd 2.86
8 Pd 0.4776 0.9553 0.6230  3 Pd 2.61-2.77, 2 Bi 2.70, 2 Pt 2.79
9 Pd 0.4776 0.9553 0.8770  3 Pd 2.61-2.77, 2 Bi 2.70, 2 Pt 2.79
10 Pd 0.3413 0.6825 0.7500  5 Bi 2.89-2.95, 6 Pd 3.02-3.07
11 Pd 0.6158 0.2317 0.8874  4 Pd 2.77-3.06, 4 Bi 2.79-2.97, 2 Pt 2.85
12 Pd 0.5224 0.0447 0.3770  3 Pd 2.61-2.77, 2 Bi 2.70, 2 Pt 2.79
13 Pd 0.3842 0.7683 0.1126  4 Pd 2.77-3.06, 4 Bi 2.79-2.97, 2 Pt 2.85
14 Pd 0.2413 0.4827 0.4046  3 Bi 2.72-2.87, 3 Pd 2.86
15 Pd 0.6158 0.2317 0.6126  4 Pd 2.77-3.06, 4 Bi 2.79-2.97, 2 Pt 2.85
16 Pd 0.3842 0.7683 0.3874  4 Pd 2.77-3.06, 4 Bi 2.79-2.97, 2 Pt 2.85
17 Pd 0.6587 0.3175 0.2500  5 Bi 2.89-2.95, 6 Pd 3.02-3.07
18 Pd 0.5224 0.0447 0.1230  3 Pd 2.61-2.77, 2 Bi 2.70, 2 Pt 2.79
19 Pd 0.2413 0.4827 0.0954  3 Bi 2.72-2.87, 3 Pd 2.86
20 Pd 0.7587 0.5173 0.9046  3 Bi 2.72-2.87, 3 Pd 2.86
21 Pt 0.9533 0.9065 0.2500  8 Pd 2.79-2.85, 1 Bi 3.00
22 Pt 0.0467 0.0935 0.7500  8 Pd 2.79-2.85, 1 Bi 3.00

Summary:
E = -55.472 eV/f.u.
Energy of formation = -1.44 eV/f.u.
Total magnetization = 0.00 μB per formula unit
Space group = Cmcm (63)